Record 1
DFT (PBE-GGA) results for a geometry-optimized AcTb10Pm4 structure.

```
15
Lattice="6.142 0.000 2.774 3.071 9.058 1.387 -0.657 0.000 9.642" Properties=species:S:1:pos:R:3 pbc="T T T"
Ac 0.000 0.000 0.000
Tb 2.743 4.529 6.208
Tb 4.559 3.847 10.369
Tb 6.096 1.484 6.974
Tb 5.535 7.574 8.217
Tb 7.066 5.211 4.819
Tb 3.998 5.211 3.433
Tb 5.814 4.529 7.595
Tb 1.491 3.847 8.984
Tb 3.022 1.484 5.586
Tb 2.461 7.574 6.829
Pm 5.223 8.038 4.809
Pm 5.905 6.825 11.487
Pm 2.652 2.233 2.316
Pm 3.334 1.020 8.994
```

Properties
- E_form: 0.514 eV/atom
- Symmetry: I4/m, No. 87
- Total magnetic moment: 0.000 μB per cell
- E: -4.113 eV per atom



Record 2
DFT (PBE-GGA) results for a geometry-optimized NdMg12Ni5 structure.

```
18
Lattice="1.471 -7.338 -1.841 5.649 3.936 3.464 -5.505 0.576 5.363" Properties=species:S:1:pos:R:3 pbc="T T T"
Nd 0.072 2.256 4.414
Mg 1.419 -0.414 5.756
Mg 0.196 -2.413 1.230
Mg -1.685 -5.566 2.872
Mg 3.300 2.739 4.114
Mg 2.819 -2.167 3.090
Mg -1.204 -0.660 3.896
Mg -1.151 0.983 7.112
Mg 2.766 -3.810 -0.126
Mg 0.219 -3.187 4.694
Mg 1.396 0.360 2.292
Mg 1.476 2.847 7.158
Mg 0.139 -5.674 -0.172
Ni 4.623 -2.209 1.054
Ni 2.498 -1.194 0.569
Ni -2.000 -2.850 2.801
Ni 3.615 0.023 4.185
Ni 0.000 0.000 0.000
```

Properties
- E_form: -0.082 eV/atom
- Symmetry: Immm, No. 71
- Total magnetic moment: 0.000 μB per cell
- E: -3.016 eV per atom



Record 3
DFT (PBE-GGA) results for a geometry-optimized KRe2Te structure.

```
4
Lattice="-1.739 3.025 -5.390 -5.436 -2.033 -2.748 3.107 2.767 4.891" Properties=species:S:1:pos:R:3 pbc="T T T"
K -3.013 0.623 -1.025
Re -6.627 0.917 -7.516
Re -1.249 3.163 -2.442
Te -3.942 0.545 -4.470
```

Properties
- Uncorrected formation energy: 1001.0 meV per atom
- Symmetry: Imm2, No. 44
- Total magnetic moment: 0.490 μB per cell
- E: -6.283 eV per atom



Record 4
DFT (PBE-GGA) results for a geometry-optimized SrTlTcPt2 structure.

```
5
Lattice="-1.739 3.995 2.804 0.381 -2.825 4.260 4.866 1.654 0.662" Properties=species:S:1:pos:R:3 pbc="T T T"
Sr 1.753 1.412 3.863
Tl 0.000 0.000 0.000
Tc 0.190 -1.412 2.130
Pt 2.433 0.827 0.331
Pt -0.870 1.997 1.402
```

Properties
- E_form: 0.868 eV/atom
- Symmetry: P4/mmm, No. 123
- Total magnetic moment: 3.281 μB per cell
- E: -4.432 eV per atom



Record 5
DFT (PBE-GGA) results for a geometry-optimized Li2TbGa structure.

```
4
Lattice="0.571 -1.998 4.362 0.755 -4.755 0.399 4.337 -1.652 1.351" Properties=species:S:1:pos:R:3 pbc="T T T"
Li 1.798 -2.042 1.505
Li 1.710 -6.694 4.737
Tb 4.630 -6.245 4.561
Ga 3.212 -4.144 3.033
```

Properties
- E_form: -0.271 eV/atom
- Symmetry: F-43m, No. 216
- Total magnetic moment: 0.000 μB per cell
- E: -3.142 eV per atom



Record 6
DFT (PBE-GGA) results for a geometry-optimized Ce2BeGe6Rh structure.

```
20
Lattice="-2.594 3.222 -5.114 2.925 -4.384 -4.246 -7.069 -5.085 0.381" Properties=species:S:1:pos:R:3 pbc="T T T"
Ce -0.858 -3.032 -5.705
Ce -4.642 -4.869 -0.713
Ce -4.334 -5.532 -5.518
Ce -1.048 -2.284 -0.907
Be -4.563 -1.333 -2.756
Be 2.657 -3.983 -3.857
Ge -2.419 -0.767 -3.487
Ge -5.827 -3.219 -3.303
Ge 0.513 -4.548 -3.126
Ge -3.149 -7.182 -2.929
Ge -1.292 -6.034 -4.798
Ge -2.873 -4.070 -7.916
Ge -3.113 -3.378 -3.139
Ge -4.119 -2.128 -5.123
Ge -0.381 0.035 -6.604
Ge 1.207 -1.938 -3.474
Ge -0.615 0.718 -1.814
Ge -1.627 1.976 -3.811
Rh -1.768 -5.192 -2.375
Rh -0.139 -0.124 -4.238
```

Properties
- E_form: -0.370 eV/atom
- Symmetry: Pmmn, No. 59
- Total magnetic moment: 1.664 μB per cell
- E: -5.435 eV per atom



Record 7
DFT (PBE-GGA) results for a geometry-optimized RbSrGaO3 structure.

```
12
Lattice="4.074 0.000 0.000 -2.037 6.756 -0.039 0.000 -2.058 7.591" Properties=species:S:1:pos:R:3 pbc="T T T"
Rb 0.000 2.814 7.045
Rb 2.037 1.884 0.507
Sr 2.037 0.884 4.393
Sr 0.000 3.814 3.159
Ga 0.000 -0.485 2.175
Ga 2.037 5.183 5.377
O 2.037 4.485 1.648
O 2.037 3.390 4.862
O 2.037 -0.520 2.286
O 0.000 1.308 2.690
O 0.000 5.218 5.266
O 0.000 0.213 5.904
```

Properties
- Uncorrected formation energy: -1900.8 meV per atom
- Symmetry: C2/m, No. 12
- Total magnetic moment: 0.000 μB per cell
- E: -5.326 eV per atom



Record 8
DFT (PBE-GGA) results for a geometry-optimized KAcTlAu structure.

```
4
Lattice="5.654 0.000 0.000 2.827 4.896 0.000 2.827 1.632 4.616" Properties=species:S:1:pos:R:3 pbc="T T T"
K 8.481 4.896 3.462
Ac 2.827 1.632 1.154
Au 5.654 3.264 2.308
Tl 0.000 0.000 0.000
```

Properties
- E_form: -0.249 eV/atom
- Symmetry: F-43m, No. 216
- Total magnetic moment: 0.000 μB per cell
- E: -2.962 eV per atom



Record 9
DFT (PBE-GGA) results for a geometry-optimized Li2La2Mg structure.

```
5
Lattice="3.828 0.000 0.000 0.000 3.828 0.000 1.914 1.914 10.015" Properties=species:S:1:pos:R:3 pbc="T T T"
Mg 0.000 0.000 0.000
Li 3.828 1.914 5.007
Li 1.914 3.828 5.007
La 1.914 1.914 2.057
La 3.828 3.828 7.958
```

Properties
- E_form: 0.125 eV/atom
- Symmetry: I4/mmm, No. 139
- Total magnetic moment: 0.000 μB per cell
- E: -2.930 eV per atom
- E above lowest polymorph: 0.083 eV/atom



Record 10
DFT (PBE-GGA) results for a geometry-optimized CaTaAg structure.

```
6
Lattice="-0.137 -9.253 -0.632 3.048 -0.026 -0.224 -2.682 1.592 4.909" Properties=species:S:1:pos:R:3 pbc="T T T"
Ca -0.121 -0.465 1.244
Ca 1.381 -4.276 1.280
Ag 0.030 -2.825 3.524
Ag -1.451 -0.325 3.909
Ta -0.099 -7.014 2.320
Ta 1.225 -6.980 -0.428
```

Properties
- E_form: 0.240 eV/atom
- Symmetry: P-1, No. 2
- Total magnetic moment: 0.000 μB per cell
- E: -5.328 eV per atom
- E above lowest polymorph: 0.117 eV/atom



Record 11
DFT (PBE-GGA) results for a geometry-optimized AcSi3Au3 structure.

```
14
Lattice="6.871 0.000 0.000 0.000 6.871 0.000 0.000 0.000 6.871" Properties=species:S:1:pos:R:3 pbc="T T T"
Ac 3.436 3.436 3.436
Ac 0.000 0.000 0.000
Au 1.718 0.000 3.436
Au 0.000 3.436 1.718
Au 3.436 5.153 0.000
Au 5.153 0.000 3.436
Au 0.000 3.436 5.153
Au 3.436 1.718 0.000
Si 0.000 1.718 3.436
Si 0.000 5.153 3.436
Si 3.436 0.000 5.153
Si 5.153 3.436 0.000
Si 3.436 0.000 1.718
Si 1.718 3.436 0.000
```

Properties
- Uncorrected formation energy: -254.2 meV per atom
- Symmetry: Pm-3n, No. 223
- Total magnetic moment: 0.000 μB per cell
- E: -4.570 eV per atom



Record 12
DFT (PBE-GGA) results for a geometry-optimized ZrSc2Si structure.

```
4
Lattice="3.704 0.000 0.000 0.000 3.704 0.000 0.000 0.000 5.976" Properties=species:S:1:pos:R:3 pbc="T T T"
Sc 0.000 0.000 5.933
Sc 1.852 1.852 1.613
Si 0.000 0.000 3.036
Zr 1.852 1.852 4.358
```

Properties
- Uncorrected formation energy: -310.3 meV per atom
- Symmetry: P4mm, No. 99
- Total magnetic moment: 0.000 μB per cell
- E: -6.969 eV per atom



Q: Number 5 is which compound?
A: Li2TbGa